Entry 1:
A geometry-optimized HoAgGe structure, computed with PBE-GGA.

Unit cell a=4.5075 b=4.5075 c=3.5555 alpha=90.00 beta=90.00 gamma=120.00
Space group P3m1 (No. 156)
Asymmetric unit:
Ho  0.0000  0.0000  0.0000
Ag  0.3333  0.6667  0.4994
Ge  0.6667  0.3333  0.5045

## Properties
Formation energy (meV/atom): -523
Total DFT energy (no corrections) (eV per atom): -4.5381

***

Entry 2:
A geometry-optimized Y2PuCr2C4 structure, computed with PBE-GGA.

Unit cell a=13.049 b=3.405 c=5.949 alpha=90.00 beta=110.39 gamma=90.00
Space group C2/m (No. 12)
Asymmetric unit:
Y  0.135  0.000  0.040
Pu  0.000  0.000  0.500
Cr  0.180  0.500  0.490
C  0.038  0.500  0.254
C  0.219  0.000  0.694

## Properties
Formation energy (meV/atom): -56
Total DFT energy (no corrections) (eV per atom): -9.3233

***

Entry 3:
A geometry-optimized Dy2MnCuS5 structure, computed with PBE-GGA.

Unit cell a=3.765 b=16.069 c=11.121 alpha=90.00 beta=90.00 gamma=90.00
Space group Cmc2_1 (No. 36)
Asymmetric unit:
Dy  0.000  0.112  0.000
Dy  0.000  0.128  0.614
Mn  0.000  0.198  0.324
Cu  0.000  0.431  0.764
S  0.000  0.056  0.373
S  0.000  0.284  0.973
S  0.000  0.304  0.660
S  0.000  0.351  0.311
S  0.000  0.499  0.089

## Properties
E_form (uncorrected) (meV per atom): -1294
Total DFT energy (no corrections) (eV per atom): -6.0833

***

Entry 4:
A geometry-optimized Mg2Cu2Se3 structure, computed with PBE-GGA.

Unit cell a=3.622 b=25.700 c=3.636 alpha=90.00 beta=90.00 gamma=90.00
Space group Cmmm (No. 65)
Asymmetric unit:
Mg  0.000  0.099  0.000
Cu  0.000  0.282  0.500
Se  0.000  0.000  0.000
Se  0.000  0.372  0.500

## Properties
E_form (uncorrected) (meV per atom): -279
Relative energy among the computed polymorphs (eV/atom): 0.380
Total DFT energy (no corrections) (eV per atom): -3.3985